8
Lattice="-0.575 5.485 0.793 -1.641 0.521 -6.150 -4.791 -3.583 2.854" Properties=species:S:1:pos:R:3 comment="BSbSe2 (PBE-GGA, optimized geometry)" m_tot_mub_per_cell=0.00 space_group="No. 1" relative_energy_ev_per_atom=0.0622 raw_formation_energy_ev_per_fu=-0.1 dos_ef_per_ev_cell=0.3 volume_a3_per_cell=206 pbc="T T T"
Sb -2.841 0.926 0.184
Sb -1.697 3.758 0.360
Se -5.037 -2.420 -1.811
Se -1.660 3.826 -2.194
Se -4.241 0.893 -3.402
Se -4.195 -2.542 1.256
B -5.464 2.293 -2.810
B -5.059 1.709 0.416

4
Lattice="-3.649 -3.494 1.510 -0.377 -1.394 5.071 -4.134 1.578 2.868" Properties=species:S:1:pos:R:3 comment="TbMgSn2 (PBE-GGA, optimized geometry)" m_tot_mub_per_cell=0.00 space_group="No. 225" dos_ef_per_ev_cell=2.2 volume_a3_per_cell=104 formation_energy_kcal_per_mol_atoms=-7.341 pbc="T T T"
Sn -2.040 -0.828 2.362
Sn -6.120 -2.483 7.087
Mg -4.080 -1.655 4.725
Tb 0.000 0.000 0.000

4
Lattice="4.837 0.000 0.000 2.419 4.189 0.000 2.419 1.396 3.950" Properties=species:S:1:pos:R:3 comment="LiHoInAu (PBE-GGA, optimized geometry)" m_tot_mub_per_cell=0.00 space_group="No. 216" dos_ef_per_ev_cell=0.6 volume_a3_per_cell=80 formation_energy_kcal_per_mol_atoms=-14.408 pbc="T T T"
Li 4.837 2.793 1.975
Ho 7.256 4.189 2.962
In 2.419 1.396 0.987
Au 0.000 0.000 0.000

12
Lattice="5.095 0.745 -0.485 0.839 4.314 0.046 -0.800 0.187 7.105" Properties=species:S:1:pos:R:3 comment="SrBH2F8 (PBE-GGA, optimized geometry)" m_tot_mub_per_cell=1.12 space_group="No. 2" volume_a3_per_cell=150 dft_energy_ev_per_atom=-4.73 pbc="T T T"
F 1.226 1.868 4.121
F 0.889 3.728 6.146
F 3.369 1.832 4.913
F 1.765 3.414 1.752
F 4.113 4.233 6.623
F 1.020 1.013 0.042
F 4.245 1.519 0.519
F 3.907 3.379 2.544
H 2.268 1.847 4.608
H 2.866 3.400 2.057
Sr -0.400 0.093 3.553
B 0.000 0.000 0.000